Material: AlSiMo6
Method: DFT, PBE
State: relaxed

Cell and atoms, written as POSCAR:
```
AlSiMo6
1.0
-1.3990 3.3630 -3.3466
-4.4335 0.3157 2.1706
1.6894 3.6135 2.9250
Al Mo Si
1 6 1
Cartesian
0.0000 0.0000 0.0000 Al
-1.8149 1.7609 -1.1272 Mo
-4.0176 1.9178 -0.0488 Mo
-1.7917 1.0670 1.8212 Mo
0.4927 2.6528 0.6205 Mo
-0.2023 4.3237 -1.0422 Mo
-0.9523 2.8623 3.2744 Mo
-2.0715 3.6461 0.8745 Si
```

Computed properties:
Uncorrected energy (eV for the cell shown): -76.45
Space-group type: No. 200